12
Lattice="9.287 0.000 0.000 0.000 4.519 0.000 -1.995 0.000 10.020" Properties=species:S:1:pos:R:3 comment="AcTlCdSe3 (PBE, optimized geometry)" final_energy_ev_per_fu=-24.53 space_group=P2_1/m dos_at_fermi_per_ev_cell=0.000 pbc="T T T"
Ac 1.218 1.130 1.552
Ac 6.075 3.390 8.468
Tl 1.292 3.390 8.059
Tl 6.000 1.130 1.961
Cd 3.100 3.390 3.951
Cd 4.192 1.130 6.069
Se -1.083 1.130 8.491
Se 1.772 1.130 4.759
Se 3.360 3.390 1.307
Se 3.932 1.130 8.713
Se 5.520 3.390 5.261
Se 8.375 3.390 1.529